Entry 1:
La2GaAgH | PBE-GGA | relaxed

```
5
Lattice="5.215 0.000 0.000 0.000 5.215 0.000 0.000 0.000 4.080" Properties=species:S:1:pos:R:3 pbc="T T T"
La 0.000 2.608 0.000
La 2.608 0.000 0.000
Ga 0.000 0.000 2.040
Ag 2.608 2.608 2.040
H 0.000 0.000 0.000
```

- total magnetization (μB/f.u.) = 0.0
- relative energy among the computed polymorphs (eV per atom) = 0.074
- VASP energy (eV/atom) = -4.145
- crystal system = tetragonal

***

Entry 2:
Pm4ZnIn | PBE-GGA | relaxed

```
6
Lattice="6.479 -1.869 0.000 6.479 1.869 0.000 -2.242 0.000 7.291" Properties=species:S:1:pos:R:3 pbc="T T T"
Pm 1.145 0.000 2.451
Pm 0.158 0.000 5.945
Pm 10.558 0.000 1.346
Pm 9.571 0.000 4.839
Zn 5.358 0.000 3.645
In 6.479 0.000 0.000
```

- energy of formation from the pure elements (eV per atom) = -0.24
- total magnetization (μB/f.u.) = 1.2
- relative energy among the computed polymorphs (eV per atom) = 0.000
- VASP energy (eV/atom) = -4.071
- crystal system = monoclinic

***

Entry 3:
Mg5TlAg3 | PBE-GGA | relaxed

```
18
Lattice="8.392 0.000 0.000 -4.196 7.267 0.000 0.000 0.000 6.085" Properties=species:S:1:pos:R:3 pbc="T T T"
Mg -1.344 2.328 1.521
Mg -2.852 4.939 4.564
Mg 2.688 0.000 1.521
Mg 1.344 2.328 4.564
Mg 0.000 4.845 0.000
Mg 0.000 4.845 3.043
Mg 4.196 2.422 0.000
Mg 4.196 2.422 3.043
Mg 5.703 0.000 4.564
Mg 2.852 4.939 1.521
Tl 0.000 0.000 0.000
Tl 0.000 0.000 3.043
Ag -1.497 2.593 4.564
Ag -2.698 4.674 1.521
Ag 2.995 0.000 4.564
Ag 1.497 2.593 1.521
Ag 5.397 0.000 1.521
Ag 2.698 4.674 4.564
```

- energy of formation from the pure elements (eV per atom) = -0.11
- total magnetization (μB/f.u.) = 0.0
- VASP energy (eV/atom) = -2.207
- crystal system = hexagonal

***

Entry 4:
CuHg3B | PBE-GGA | relaxed

```
5
Lattice="5.022 0.000 0.000 0.000 5.022 0.000 0.000 0.000 5.022" Properties=species:S:1:pos:R:3 pbc="T T T"
Cu 0.000 0.000 0.000
Hg 0.000 0.000 2.511
Hg 0.000 2.511 0.000
Hg 2.511 0.000 0.000
B 2.511 2.511 2.511
```

- energy of formation from the pure elements (eV per atom) = 1.13
- total magnetization (μB/f.u.) = 0.0
- relative energy among the computed polymorphs (eV per atom) = 0.387
- VASP energy (eV/atom) = -1.204
- crystal system = cubic

***

Entry 5:
KMgP2O6 | PBE-GGA | relaxed

```
10
Lattice="2.690 1.553 6.019 -2.690 1.553 6.019 0.000 -3.106 6.019" Properties=species:S:1:pos:R:3 pbc="T T T"
K 0.000 0.000 0.000
Mg 0.000 0.000 9.029
P 0.000 0.000 4.420
P 0.000 0.000 13.638
O -1.690 -0.430 7.835
O -0.473 -1.678 10.222
O -1.217 1.248 10.222
O 1.217 -1.248 7.835
O 0.473 1.678 7.835
O 1.690 0.430 10.222
```

- formation energy from raw total energies (meV/atom) = -2060
- total magnetization (μB/f.u.) = 1.0
- VASP energy (eV/atom) = -6.386
- crystal system = trigonal

***

Entry 6:
MoIrPb2 | PBE-GGA | relaxed

```
4
Lattice="-2.033 2.033 4.907 2.033 -2.033 4.907 2.033 2.033 -4.907" Properties=species:S:1:pos:R:3 pbc="T T T"
Mo 0.000 0.000 0.000
Ir 0.000 2.033 2.454
Pb 2.033 0.000 2.454
Pb 0.000 0.000 4.907
```

- energy of formation from the pure elements (eV per atom) = 0.78
- total magnetization (μB/f.u.) = 1.4
- relative energy among the computed polymorphs (eV per atom) = 0.565
- VASP energy (eV/atom) = -5.996
- crystal system = tetragonal

***

Entry 7:
K4Pr3NpS8 | PBE-GGA | relaxed

```
16
Lattice="4.206 2.428 7.388 -4.206 2.428 7.388 0.000 -4.856 7.388" Properties=species:S:1:pos:R:3 pbc="T T T"
K 0.000 0.000 0.000
K -2.103 -1.214 7.388
K -2.103 1.214 14.776
K 0.000 2.428 7.388
Pr -4.206 0.000 11.082
Pr -2.103 1.214 3.694
Pr 2.103 1.214 3.694
Np 0.000 0.000 11.082
S 0.000 0.000 5.248
S -2.062 -1.190 12.604
S 0.000 -2.381 9.560
S -2.062 1.190 9.560
S 2.062 -1.190 12.604
S 0.000 2.381 12.604
S 2.062 1.190 9.560
S 0.000 0.000 16.916
```

- formation energy from raw total energies (meV/atom) = -1720
- total magnetization (μB/f.u.) = 4.0
- VASP energy (eV/atom) = -5.763
- crystal system = trigonal

***

Entry 8:
LaGe3Cl | PBE-GGA | relaxed

```
5
Lattice="5.003 0.000 0.000 0.000 5.003 0.000 0.000 0.000 5.003" Properties=species:S:1:pos:R:3 pbc="T T T"
La 0.000 0.000 0.000
Ge 0.000 2.502 2.502
Ge 2.502 0.000 2.502
Ge 2.502 2.502 0.000
Cl 2.502 2.502 2.502
```

- formation energy from raw total energies (meV/atom) = 108
- total magnetization (μB/f.u.) = 0.0
- relative energy among the computed polymorphs (eV per atom) = 0.000
- VASP energy (eV/atom) = -4.017
- crystal system = cubic

***

Entry 9:
AcPr2Y | PBE-GGA | relaxed

```
4
Lattice="0.000 4.222 4.222 4.222 0.000 4.222 4.222 4.222 0.000" Properties=species:S:1:pos:R:3 pbc="T T T"
Ac 0.000 0.000 0.000
Pr 2.111 2.111 2.111
Pr 6.334 6.334 6.334
Y 4.222 4.222 4.222
```

- energy of formation from the pure elements (eV per atom) = 0.15
- total magnetization (μB/f.u.) = 1.3
- relative energy among the computed polymorphs (eV per atom) = 0.135
- VASP energy (eV/atom) = -4.882
- crystal system = cubic

***

Entry 10:
Ac2Co2Hg | PBE-GGA | relaxed

```
5
Lattice="2.035 -7.425 0.000 2.035 7.425 0.000 0.000 0.000 4.247" Properties=species:S:1:pos:R:3 pbc="T T T"
Ac 2.035 5.431 0.000
Ac 2.035 -5.431 0.000
Co 2.035 3.211 2.124
Co 2.035 -3.211 2.124
Hg 2.035 0.000 2.124
```

- energy of formation from the pure elements (eV per atom) = -0.19
- total magnetization (μB/f.u.) = 1.7
- VASP energy (eV/atom) = -4.740
- crystal system = orthorhombic

***

Entry 11:
Tb7Pr2Th2 | PBE-GGA | relaxed

```
11
Lattice="5.603 -5.795 0.000 5.603 5.795 0.000 -2.450 0.000 5.653" Properties=species:S:1:pos:R:3 pbc="T T T"
Tb 0.000 0.000 0.000
Tb 1.643 3.026 4.713
Tb 1.336 0.000 3.274
Tb 7.114 3.026 0.940
Tb 1.643 -3.026 4.713
Tb 7.421 0.000 2.379
Tb 7.114 -3.026 0.940
Pr 4.378 3.302 2.827
Pr 4.378 -3.302 2.827
Th 4.122 0.000 1.059
Th 4.635 0.000 4.595
```

- energy of formation from the pure elements (eV per atom) = 0.18
- total magnetization (μB/f.u.) = 0.0
- VASP energy (eV/atom) = -4.981
- crystal system = monoclinic

***

Entry 12:
Zr2AlSe | PBE-GGA | relaxed

```
4
Lattice="4.593 0.000 0.000 0.000 1.689 5.081 0.000 -1.689 5.081" Properties=species:S:1:pos:R:3 pbc="T T T"
Zr 0.000 0.000 0.000
Zr 2.296 0.000 2.858
Al 0.000 0.000 7.424
Se 2.296 0.000 5.630
```

- formation energy from raw total energies (meV/atom) = -641
- total magnetization (μB/f.u.) = 0.0
- relative energy among the computed polymorphs (eV per atom) = 0.051
- VASP energy (eV/atom) = -6.722
- crystal system = orthorhombic

***

Entry 13:
Ce2Pr3SmSe6 | PBE-GGA | relaxed

```
12
Lattice="3.655 -6.338 0.000 3.655 6.338 0.000 -2.444 0.000 6.928" Properties=species:S:1:pos:R:3 pbc="T T T"
Ce 3.655 4.229 0.000
Ce 3.655 -4.229 0.000
Pr -1.222 0.000 3.464
Pr 2.433 2.094 3.464
Pr 2.433 -2.094 3.464
Sm 3.655 0.000 0.000
Se -0.003 2.110 5.237
Se 1.221 0.000 1.686
Se -0.003 -2.110 5.237
Se 4.868 2.110 1.691
Se 3.644 0.000 5.242
Se 4.868 -2.110 1.691
```

- formation energy from raw total energies (meV/atom) = -1839
- total magnetization (μB/f.u.) = 1.9
- VASP energy (eV/atom) = -6.158
- crystal system = monoclinic

***

Entry 14:
Dy3TiIn3S8 | PBE-GGA | relaxed

```
15
Lattice="3.876 2.238 7.448 -3.876 2.238 7.448 0.000 -4.476 7.448" Properties=species:S:1:pos:R:3 pbc="T T T"
Dy -1.938 -1.119 7.448
Dy -1.938 1.119 14.896
Dy 0.000 2.238 7.448
Ti 0.000 0.000 0.000
In -3.876 0.000 11.172
In -1.938 1.119 3.724
In 1.938 1.119 3.724
S 0.000 -2.431 8.890
S -2.106 1.216 8.890
S -2.106 -1.216 13.454
S 0.000 0.000 5.920
S 0.000 0.000 16.424
S 2.106 1.216 8.890
S 2.106 -1.216 13.454
S 0.000 2.431 13.454
```

- formation energy from raw total energies (meV/atom) = -1367
- total magnetization (μB/f.u.) = 0.0
- VASP energy (eV/atom) = -5.563
- crystal system = trigonal

***

Entry 15:
CoRh2Se | PBE-GGA | relaxed

```
4
Lattice="2.923 0.000 0.000 0.000 3.487 0.000 0.000 0.000 5.579" Properties=species:S:1:pos:R:3 pbc="T T T"
Co 0.000 0.000 0.000
Rh 1.461 1.744 1.333
Rh 1.461 1.744 4.246
Se 0.000 0.000 2.789
```

- formation energy from raw total energies (meV/atom) = 122
- total magnetization (μB/f.u.) = 2.4
- VASP energy (eV/atom) = -6.202
- crystal system = orthorhombic

***

Entry 16:
La3CePr4Se8 | PBE-GGA | relaxed

```
16
Lattice="4.284 2.473 6.966 -4.284 2.473 6.966 0.000 -4.947 6.966" Properties=species:S:1:pos:R:3 pbc="T T T"
La -2.142 -1.237 6.966
La -2.142 1.237 13.931
La 0.000 2.473 6.966
Ce 0.000 0.000 0.000
Pr -4.284 0.000 10.449
Pr -2.142 1.237 3.483
Pr 2.142 1.237 3.483
Pr 0.000 0.000 10.449
Se -2.165 -1.250 12.196
Se 0.000 -2.500 8.701
Se -2.165 1.250 8.701
Se 0.000 0.000 5.213
Se 0.000 0.000 15.684
Se 2.165 -1.250 12.196
Se 0.000 2.500 12.196
Se 2.165 1.250 8.701
```

- formation energy from raw total energies (meV/atom) = -1903
- total magnetization (μB/f.u.) = 1.0
- VASP energy (eV/atom) = -6.135
- crystal system = trigonal

***

Entry 17:
PrAl2Hg | PBE-GGA | relaxed

```
4
Lattice="2.945 -4.981 0.000 2.945 4.981 0.000 0.000 0.000 3.174" Properties=species:S:1:pos:R:3 pbc="T T T"
Pr 0.000 0.000 0.000
Al 1.473 2.490 1.587
Al 1.473 -2.490 1.587
Hg 2.945 0.000 1.587
```

- energy of formation from the pure elements (eV per atom) = -0.19
- total magnetization (μB/f.u.) = 0.0
- relative energy among the computed polymorphs (eV per atom) = 0.150
- VASP energy (eV/atom) = -3.333
- crystal system = orthorhombic

***

Entry 18:
CdRh2I | PBE-GGA | relaxed

```
4
Lattice="0.000 3.316 3.316 3.316 0.000 3.316 3.316 3.316 0.000" Properties=species:S:1:pos:R:3 pbc="T T T"
Cd 0.000 0.000 0.000
Rh 1.658 1.658 1.658
Rh 4.974 4.974 4.974
I 3.316 3.316 3.316
```

- formation energy from raw total energies (meV/atom) = 406
- total magnetization (μB/f.u.) = 0.0
- relative energy among the computed polymorphs (eV per atom) = 0.000
- VASP energy (eV/atom) = -3.886
- crystal system = cubic

***

Entry 19:
FeH2Br3 | PBE-GGA | relaxed

```
12
Lattice="3.927 0.000 0.000 1.835 7.399 0.000 0.973 3.153 9.976" Properties=species:S:1:pos:R:3 pbc="T T T"
Fe 2.292 5.025 4.322
Fe 4.443 5.526 5.654
H 2.106 3.134 1.803
H 2.636 2.491 7.225
H 4.099 8.061 2.751
H 4.628 7.417 8.173
Br 1.480 4.515 1.946
Br 3.231 7.309 4.484
Br 3.853 9.313 8.486
Br 2.881 1.238 1.490
Br 3.504 3.242 5.492
Br 5.255 6.037 8.030
```

- total magnetization (μB/f.u.) = 3.0
- VASP energy (eV/atom) = -3.473
- crystal system = triclinic

***

Entry 20:
AcAgP2 | PBE-GGA | relaxed

```
4
Lattice="2.479 1.431 6.627 -2.479 1.431 6.627 0.000 -2.863 6.627" Properties=species:S:1:pos:R:3 pbc="T T T"
Ac 0.000 0.000 0.000
Ag 0.000 0.000 9.941
P 0.000 0.000 7.598
P 0.000 0.000 12.284
```

- energy of formation from the pure elements (eV per atom) = -0.09
- total magnetization (μB/f.u.) = 0.0
- relative energy among the computed polymorphs (eV per atom) = 0.255
- VASP energy (eV/atom) = -4.534
- crystal system = trigonal

***

Entry 21:
ZnCo2Tc | PBE-GGA | relaxed

```
4
Lattice="1.317 0.760 8.332 -1.317 0.760 8.332 0.000 -1.521 8.332" Properties=species:S:1:pos:R:3 pbc="T T T"
Zn 0.000 0.000 0.000
Co 0.000 0.000 6.230
Co 0.000 0.000 18.766
Tc 0.000 0.000 12.498
```

- energy of formation from the pure elements (eV per atom) = 0.09
- total magnetization (μB/f.u.) = 1.8
- VASP energy (eV/atom) = -6.375
- crystal system = trigonal

***

Entry 22:
Cs4HI3 | PBE-GGA | relaxed

```
8
Lattice="5.381 -7.577 0.000 5.381 7.577 0.000 0.000 0.000 5.382" Properties=species:S:1:pos:R:3 pbc="T T T"
Cs 5.381 4.083 0.000
Cs 2.495 0.000 2.691
Cs 8.267 0.000 2.691
Cs 5.381 -4.083 0.000
H 0.000 0.000 0.000
I 2.691 3.789 2.691
I 2.691 -3.789 2.691
I 5.381 0.000 0.000
```

- total magnetization (μB/f.u.) = 0.1
- relative energy among the computed polymorphs (eV per atom) = 0.005
- VASP energy (eV/atom) = -2.596
- crystal system = orthorhombic

***

Entry 23:
TaWBr2 | PBE-GGA | relaxed

```
4
Lattice="1.540 0.889 9.041 -1.540 0.889 9.041 0.000 -1.778 9.041" Properties=species:S:1:pos:R:3 pbc="T T T"
Ta 0.000 0.000 0.000
W 0.000 0.000 13.561
Br 0.000 0.000 6.956
Br 0.000 0.000 20.166
```

- formation energy from raw total energies (meV/atom) = 866
- total magnetization (μB/f.u.) = 0.0
- relative energy among the computed polymorphs (eV per atom) = 0.921
- VASP energy (eV/atom) = -6.172
- crystal system = trigonal

***

Entry 24:
TbDy3Ho12 | PBE-GGA | relaxed

```
16
Lattice="4.981 0.000 0.000 0.000 4.981 0.000 0.000 0.000 19.909" Properties=species:S:1:pos:R:3 pbc="T T T"
Tb 0.000 0.000 0.000
Dy 0.000 0.000 4.980
Dy 0.000 0.000 9.955
Dy 0.000 0.000 14.929
Ho 0.000 2.491 2.492
Ho 0.000 2.491 7.466
Ho 0.000 2.491 12.443
Ho 0.000 2.491 17.417
Ho 2.491 0.000 2.492
Ho 2.491 0.000 7.466
Ho 2.491 0.000 12.443
Ho 2.491 0.000 17.417
Ho 2.491 2.491 0.000
Ho 2.491 2.491 4.981
Ho 2.491 2.491 9.955
Ho 2.491 2.491 14.928
```

- energy of formation from the pure elements (eV per atom) = 0.02
- total magnetization (μB/f.u.) = 0.0
- VASP energy (eV/atom) = -4.566
- crystal system = tetragonal